10
Lattice="5.645 -3.103 0.000 5.645 3.103 0.000 -1.501 0.000 7.130" Properties=species:S:1:pos:R:3 comment="PmNd2Ni2 GGA-PBE optimized geometry" delta_e_f_mev_per_atom=-239.0 pbc="T T T"
Pm 4.519 2.608 5.347
Pm 5.270 -2.608 1.782
Nd 3.360 0.631 2.478
Nd 2.609 -0.631 6.043
Nd 7.180 0.631 1.086
Nd 6.429 -0.631 4.651
Ni 2.385 2.113 7.078
Ni 6.653 2.113 3.617
Ni 3.135 -2.113 3.513
Ni 7.404 -2.113 0.052

---

10
Lattice="7.722 0.000 0.000 0.000 6.621 0.000 0.000 0.000 6.187" Properties=species:S:1:pos:R:3 comment="Pm3NdNi GGA-PBE optimized geometry" delta_e_f_mev_per_atom=-35.2 pbc="T T T"
Pm 0.000 1.031 0.000
Pm 1.908 4.510 0.044
Pm 1.953 2.111 3.137
Pm 3.861 5.590 3.093
Pm 5.769 2.111 3.137
Pm 5.814 4.510 0.044
Nd 0.000 5.636 3.163
Nd 3.861 0.985 0.069
Ni 0.000 3.295 1.615
Ni 3.861 3.326 4.708

---

10
Lattice="6.409 -1.934 0.000 6.409 1.934 0.000 -5.524 0.000 9.881" Properties=species:S:1:pos:R:3 comment="PmNd2Ni2 GGA-PBE optimized geometry" delta_e_f_mev_per_atom=-236.7 pbc="T T T"
Pm 0.646 0.000 3.521
Pm 6.648 0.000 6.361
Nd -0.820 0.000 9.196
Nd 4.139 0.000 3.036
Nd 3.155 0.000 6.846
Nd 8.113 0.000 0.685
Ni -4.790 0.000 8.813
Ni -1.593 0.000 5.427
Ni 8.887 0.000 4.454
Ni 12.084 0.000 1.068

---

4
Lattice="1.840 1.063 10.582 -1.840 1.063 10.582 0.000 -2.125 10.582" Properties=species:S:1:pos:R:3 comment="Pm2NdNi GGA-PBE optimized geometry" delta_e_f_mev_per_atom=90.2 pbc="T T T"
Pm 0.000 0.000 3.540
Pm 0.000 0.000 28.207
Nd 0.000 0.000 0.000
Ni 0.000 0.000 15.873

---

Polymorph energy (0 for the lowest one)? In order: 0 86 2 271 meV/atom.